P | Compound: Hf4ZnTc
Source: Alexandria via LeMat-Bulk
Functional: PBE
Structure: relaxed

Summary:
Fermi-level density of states: 5.68 states/eV/f.u.
Spin magnetization: 0.00 μB per formula unit
SG: P4/mmm, No. 123
ρ: 11.08 g cm⁻³

Cell: 4.522 4.522 6.434 Å, 89.95 89.97 90.00°
Atoms (fractional coordinates):
Zn  0.501  0.497  0.998
Tc  0.001  0.997  0.498
Hf  0.501  0.998  0.739
Hf  0.501  0.997  0.257
Hf  0.001  0.497  0.257
Hf  0.001  0.498  0.739

---

Q | Compound: Hf4ZnTc
Source: Alexandria via LeMat-Bulk
Functional: PBE
Structure: relaxed

Summary:
Fermi-level density of states: 5.37 states/eV/f.u.
Spin magnetization: 0.00 μB per formula unit
SG: P4/mmm, No. 123
ρ: 12.54 g cm⁻³

Cell: 3.270 3.270 10.859 Å, 90.00 90.00 90.00°
Atoms (fractional coordinates):
Hf  0.500  0.500  0.854
Hf  0.000  0.000  0.336
Tc  0.000  0.000  0.000
Zn  0.500  0.500  0.500
Hf  0.000  0.000  0.664
Hf  0.500  0.500  0.146

---

Stability check: which of them is least stable? P.

---

P | Compound: HfZn2Tc2
Source: Alexandria via LeMat-Bulk
Functional: PBE
Structure: relaxed

Summary:
Fermi-level density of states: 3.69 states/eV/f.u.
Spin magnetization: 0.00 μB per formula unit
SG: P4/mbm, No. 127
ρ: 10.37 g cm⁻³

Cell: 7.307 7.307 3.030 Å, 90.00 90.00 90.00°
Atoms (fractional coordinates):
Tc  0.615  0.115  0.000
Tc  0.385  0.885  0.000
Tc  0.885  0.615  0.000
Tc  0.115  0.385  0.000
Zn  0.321  0.179  0.500
Zn  0.679  0.821  0.500
Zn  0.821  0.321  0.500
Zn  0.179  0.679  0.500
Hf  0.000  0.000  0.000
Hf  0.500  0.500  0.000

---

Q | Compound: HfZn2Tc2
Source: Alexandria via LeMat-Bulk
Functional: PBE
Structure: relaxed

Summary:
Fermi-level density of states: 5.41 states/eV/f.u.
Spin magnetization: 0.00 μB per formula unit
SG: I4/mmm, No. 139
ρ: 10.00 g cm⁻³

Cell: 3.579 3.579 7.022 Å, 75.24 75.24 90.00°
Atoms (fractional coordinates):
Zn  0.750  0.250  0.500
Zn  0.250  0.750  0.500
Hf  0.000  0.000  0.000
Tc  0.597  0.597  0.806
Tc  0.403  0.403  0.194

---

R | Compound: HfZn2Tc2
Source: Alexandria via LeMat-Bulk
Functional: PBE
Structure: relaxed

Summary:
Fermi-level density of states: 3.43 states/eV/f.u.
Spin magnetization: 0.00 μB per formula unit
SG: P4/mbm, No. 127
ρ: 10.76 g cm⁻³

Cell: 6.814 6.814 3.358 Å, 90.00 90.00 90.00°
Atoms (fractional coordinates):
Zn  0.122  0.378  0.000
Tc  0.323  0.177  0.500
Hf  0.500  0.500  0.000
Tc  0.177  0.677  0.500
Tc  0.823  0.323  0.500
Tc  0.677  0.823  0.500
Zn  0.622  0.122  0.000
Hf  0.000  0.000  0.000
Zn  0.378  0.878  0.000
Zn  0.878  0.622  0.000

---

Stability check: which of them is least stable? Q.

---

P | Compound: HfZr2Tc
Source: Alexandria via LeMat-Bulk
Functional: PBE
Structure: relaxed

Summary:
Fermi-level density of states: 3.60 states/eV/f.u.
Spin magnetization: 0.00 μB per formula unit
SG: Cmcm, No. 63
ρ: 9.28 g cm⁻³

Cell: 5.667 5.847 5.707 Å, 90.00 119.77 90.00°
Atoms (fractional coordinates):
Zr  0.222  0.000  0.445
Zr  0.778  0.500  0.555
Zr  0.222  0.500  0.445
Zr  0.778  0.000  0.555
Hf  0.662  0.250  0.000
Hf  0.338  0.750  0.000
Tc  0.162  0.250  0.000
Tc  0.838  0.750  0.000

---

Q | Compound: HfZr2Tc
Source: Alexandria via LeMat-Bulk
Functional: PBE
Structure: relaxed

Summary:
Fermi-level density of states: 5.09 states/eV/f.u.
Spin magnetization: 0.00 μB per formula unit
SG: P4/mmm, No. 123
ρ: 9.55 g cm⁻³

Cell: 3.417 4.833 4.833 Å, 90.00 90.00 90.00°
Atoms (fractional coordinates):
Zr  0.000  0.500  0.000
Tc  0.500  0.500  0.500
Zr  0.000  0.000  0.500
Hf  0.500  0.000  0.000

---

Stability check: which of them is least stable? Q.